# 1
Below is TaMnTc after structural relaxation, with properties calculated at the PBE-GGA level.

Computed properties:
Formation enthalpy at 0 K (eV/f.u.): 0.1
Fermi-level density of states (states/eV per cell): 2.88
Offset from the most stable computed form (eV per formula unit): 0.07
Space group: Fmm2 (42)

Cell: 6.6874 6.5103 2.7353 Å, 81.70 74.43 23.87°
Atoms (fractional coordinates):
1 Ta 0.0000 0.0000 0.0000
2 Mn 0.6682 0.6682 0.3318
3 Tc 0.3221 0.3221 0.6779

# 2
Below is Zr3MnPt after structural relaxation, with properties calculated at the PBE-GGA level.

Computed properties:
Formation enthalpy at 0 K (eV/f.u.): 4.4
Fermi-level density of states (states/eV per cell): 11.76
Offset from the most stable computed form (eV per formula unit): 3.39
Space group: Pm-3m (221)

Cell: 5.0553 5.0553 5.0553 Å, 90.00 90.00 90.00°
Atoms (fractional coordinates):
1 Zr 0.0000 0.0000 0.5000
2 Zr 0.0000 0.5000 0.0000
3 Zr 0.5000 0.0000 0.0000
4 Mn 0.5000 0.5000 0.5000
5 Pt 0.0000 0.0000 0.0000